(1)
A plane-wave DFT calculation with PBE-GGA was carried out for a relaxed La2Tb4Pm3 crystal.

**DOS at the Fermi energy**: 1.522 states/eV/atom
**VASP energy**: -4.72 eV per atom
**Crystal system**: triclinic
**M_tot**: 0.0 μB/f.u.

Lattice parameters (Å, degrees): 6.2864 6.2904 9.6154 71.08 71.24 60.04
Last column: nearest neighbours and their distance in Å.
Space group P-1 (No. 2)
Inequivalent atoms, fractional coordinates:
La 0.0584 0.2221 0.3310 x2  6 Tb 3.62-3.66, 5 Pm 3.62-3.69, 1 La 3.68
Tb 0.1679 0.6681 0.0001 x2  5 Pm 3.61-3.64, 5 Tb 3.62-3.66, 2 La 3.62-3.63
Tb 0.2773 0.1093 0.6691 x2  5 Pm 3.61-3.68, 3 Tb 3.62-3.67, 4 La 3.62-3.66
Pm 0.3909 0.5546 0.3312 x2  6 Tb 3.61-3.68, 4 La 3.62-3.69, 2 Pm 3.63-3.66
Pm 0.5000 0.0000 0.0000 x1  8 Tb 3.61-3.64, 2 La 3.62, 2 Pm 3.63

=====

(2)
A plane-wave DFT calculation with PBE-GGA was carried out for a relaxed SrTl2Cr crystal.

**DOS at the Fermi energy**: 0.579 states/eV/atom
**VASP energy**: -3.79 eV per atom
**Crystal system**: tetragonal
**M_tot**: 4.3 μB/f.u.

Lattice parameters (Å, degrees): 4.9312 4.9312 4.6138 90.00 90.00 90.00
Last column: nearest neighbours and their distance in Å.
Space group P4/mmm (No. 123)
Inequivalent atoms, fractional coordinates:
Sr 0.0000 0.0000 0.0000 x1  8 Tl 3.38, 4 Cr 3.49
Tl 0.0000 0.5000 0.5000 x2  4 Cr 3.38, 4 Sr 3.38, 4 Tl 3.49
Cr 0.5000 0.5000 0.0000 x1  8 Tl 3.38, 4 Sr 3.49

=====

(3)
A plane-wave DFT calculation with PBE-GGA was carried out for a relaxed SrIn2Hg9 crystal.

**DOS at the Fermi energy**: 0.392 states/eV/atom
**Energy relative to the lowest polymorph listed for this composition**: 0.450 eV per formula unit
**VASP energy**: -0.93 eV per atom
**Crystal system**: hexagonal
**M_tot**: 0.0 μB/f.u.

Lattice parameters (Å, degrees): 10.4626 10.4626 3.4788 90.00 90.00 120.00
Last column: nearest neighbours and their distance in Å.
Space group P6/mmm (No. 191)
Inequivalent atoms, fractional coordinates:
Sr 0.0000 0.0000 0.0000 x1  2 Sr 3.48, 12 Hg 3.57
In 0.3333 0.6667 0.0000 x2  3 Hg 3.02
Hg 0.0000 0.5000 0.0000 x3  2 In 3.02
Hg 0.1723 0.3445 0.5000 x6  8 Hg 3.12-3.48, 2 In 3.40

=====

(4)
A plane-wave DFT calculation with PBE-GGA was carried out for a relaxed BeSiNi4 crystal.

**DOS at the Fermi energy**: 1.213 states/eV/atom
**Energy relative to the lowest polymorph listed for this composition**: 3.096 eV per formula unit
**VASP energy**: -5.26 eV per atom
**Crystal system**: cubic
**M_tot**: 0.0 μB/f.u.

Lattice parameters (Å, degrees): 6.5018 6.5018 6.5018 90.00 90.00 90.00
Last column: nearest neighbours and their distance in Å.
Space group F-43m (No. 216)
Inequivalent atoms, fractional coordinates:
Be 0.0000 0.0000 0.0000 x4  12 Ni 2.70, 4 Si 2.82
Si 0.2500 0.2500 0.2500 x4  12 Ni 2.70, 4 Be 2.82
Ni 0.1250 0.1250 0.6250 x16  6 Ni 2.30

=====

(5)
A plane-wave DFT calculation with PBE-GGA was carried out for a relaxed Pr5Sm4Er4 crystal.

**DOS at the Fermi energy**: 1.452 states/eV/atom
**VASP energy**: -4.67 eV per atom
**Crystal system**: tetragonal
**M_tot**: 0.0 μB/f.u.

Lattice parameters (Å, degrees): 13.0904 13.0904 5.1104 90.00 90.00 90.00
Last column: nearest neighbours and their distance in Å.
Space group I4/m (No. 87)
Inequivalent atoms, fractional coordinates:
Pr 0.0000 0.0000 0.0000 x2  8 Pr 3.66, 4 Sm 3.66
Pr 0.0375 0.1964 0.5000 x8  5 Sm 3.58-3.66, 3 Er 3.58-3.61, 4 Pr 3.66-3.70
Sm 0.1549 0.7671 0.0000 x8  6 Pr 3.58-3.66, 2 Sm 3.59, 4 Er 3.62-3.68
Er 0.0747 0.3875 0.0000 x8  5 Er 3.54-3.58, 3 Pr 3.58-3.61, 4 Sm 3.62-3.68

=====

(6)
A plane-wave DFT calculation with PBE-GGA was carried out for a relaxed LiTaPb crystal.

**DOS at the Fermi energy**: 0.145 states/eV/atom
**Energy relative to the lowest polymorph listed for this composition**: 0.082 eV per formula unit
**VASP energy**: -5.43 eV per atom
**Crystal system**: tetragonal
**M_tot**: 0.0 μB/f.u.

Lattice parameters (Å, degrees): 3.0032 3.0032 13.9443 90.00 90.00 90.00
Last column: nearest neighbours and their distance in Å.
Space group I4mm (No. 107)
Inequivalent atoms, fractional coordinates:
Li 0.0000 0.0000 0.0000 x2  4 Li 3.00, 4 Ta 3.09, 4 Pb 3.19
Ta 0.0000 0.0000 0.6614 x2  4 Ta 3.00, 4 Li 3.09, 4 Pb 3.16
Pb 0.0000 0.0000 0.3293 x2  4 Pb 3.00, 4 Ta 3.16, 4 Li 3.19